## CeSmI6 (PBE-GGA)

Data for an optimized crystal structure of CeSmI6.

Properties
formation energy without anion corrections: -1.340 eV/atom
excess energy over the best structure of this formula in the dataset: 0.000 eV per atom
calculated volume: 407.0 Å³/cell

Lattice parameters (Å, degrees): 8.1719 8.1719 7.7019 98.27 98.27 123.79
Positions (direct):
Ce 0.0000 0.0000 0.0000
Sm 0.5000 0.5000 0.5000
I 0.1054 0.4049 0.2538
I 0.2504 0.2504 0.7467
I 0.4049 0.1054 0.2538
I 0.5951 0.8946 0.7462
I 0.7496 0.7496 0.2533
I 0.8946 0.5951 0.7462


## Tb12Al3Tl (PBE-GGA)

Data for an optimized crystal structure of Tb12Al3Tl.

Properties
formation enthalpy at 0 K: -17.9 kJ/mol of atoms
calculated volume: 442.2 Å³/cell

Lattice parameters (Å, degrees): 4.7973 4.7973 19.2157 90.00 90.00 90.00
Positions (direct):
Tb 0.0000 0.0000 0.0000
Tb 0.0000 0.0000 0.2473
Tb 0.0000 0.0000 0.5000
Tb 0.0000 0.0000 0.7527
Tb 0.0000 0.5000 0.1240
Tb 0.0000 0.5000 0.3698
Tb 0.0000 0.5000 0.6302
Tb 0.0000 0.5000 0.8760
Tb 0.5000 0.0000 0.1240
Tb 0.5000 0.0000 0.3698
Tb 0.5000 0.0000 0.6302
Tb 0.5000 0.0000 0.8760
Al 0.5000 0.5000 0.0000
Al 0.5000 0.5000 0.2482
Al 0.5000 0.5000 0.7518
Tl 0.5000 0.5000 0.5000


## Rb2ErCuCl6 (PBE-GGA)

Data for an optimized crystal structure of Rb2ErCuCl6.

Properties
formation energy without anion corrections: -1.787 eV/atom
calculated volume: 294.0 Å³/cell

Lattice parameters (Å, degrees): 7.1381 7.3459 7.3741 115.06 114.22 98.57
Positions (direct):
Rb 0.2428 0.2444 0.4860
Rb 0.7572 0.7556 0.5140
Er 0.0000 0.5000 0.0000
Cu 0.5000 0.0000 0.0000
Cl 0.2242 0.8299 0.0060
Cl 0.2281 0.7249 0.4602
Cl 0.2848 0.3190 0.9986
Cl 0.7152 0.6810 0.0014
Cl 0.7719 0.2751 0.5398
Cl 0.7758 0.1701 0.9940


## IrPbO2F (PBE-GGA)

Data for an optimized crystal structure of IrPbO2F.

Properties
formation energy without anion corrections: -0.800 eV/atom
calculated volume: 79.3 Å³/cell

Lattice parameters (Å, degrees): 3.8039 3.8039 5.4785 90.00 90.00 90.00
Positions (direct):
Ir 0.0000 0.0000 0.0000
Pb 0.5000 0.5000 0.5000
O 0.0000 0.5000 0.0000
O 0.5000 0.0000 0.0000
F 0.0000 0.0000 0.5000


## CaPW (PBE-GGA)

Data for an optimized crystal structure of CaPW.

Properties
excess energy over the best structure of this formula in the dataset: 0.399 eV per atom
formation enthalpy at 0 K: -5.9 kJ/mol of atoms
calculated volume: 62.9 Å³/cell

Lattice parameters (Å, degrees): 4.0968 4.0968 4.3258 90.00 90.00 120.00
Positions (direct):
Ca 0.0000 0.0000 0.0000
P 0.3333 0.6667 0.5000
W 0.6667 0.3333 0.5000


## SrCd2InRh (PBE-GGA)

Data for an optimized crystal structure of SrCd2InRh.

Properties
formation enthalpy at 0 K: -24.8 kJ/mol of atoms
calculated volume: 140.2 Å³/cell

Lattice parameters (Å, degrees): 5.2359 5.2359 5.1138 90.00 90.00 90.00
Positions (direct):
Sr 0.0000 0.0000 0.0000
Cd 0.0000 0.5000 0.5000
Cd 0.5000 0.0000 0.5000
In 0.5000 0.5000 0.0000
Rh 0.5000 0.5000 0.5000


## Mg4CdAu (PBE-GGA)

Data for an optimized crystal structure of Mg4CdAu.

Properties
excess energy over the best structure of this formula in the dataset: 0.013 eV per atom
formation enthalpy at 0 K: -18.9 kJ/mol of atoms
calculated volume: 144.5 Å³/cell

Lattice parameters (Å, degrees): 4.5554 4.5554 6.9648 90.00 90.00 90.00
Positions (direct):
Mg 0.0000 0.5000 0.2284
Mg 0.0000 0.5000 0.7716
Mg 0.5000 0.0000 0.2284
Mg 0.5000 0.0000 0.7716
Cd 0.0000 0.0000 0.5000
Au 0.5000 0.5000 0.0000


## Pm4PIrI2 (PBE-GGA)

Data for an optimized crystal structure of Pm4PIrI2.

Properties
formation energy without anion corrections: -1.114 eV/atom
calculated volume: 243.6 Å³/cell

Lattice parameters (Å, degrees): 7.5753 4.1329 8.1229 90.00 106.68 90.00
Positions (direct):
Pm 0.2157 0.0000 0.1843
Pm 0.2672 0.5000 0.8120
Pm 0.7328 0.5000 0.1880
Pm 0.7843 0.0000 0.8157
P 0.5000 0.0000 0.0000
Ir 0.0000 0.5000 0.0000
I 0.0000 0.0000 0.5000
I 0.5000 0.5000 0.5000


## BaCa3Y (PBE-GGA)

Data for an optimized crystal structure of BaCa3Y.

Properties
excess energy over the best structure of this formula in the dataset: 0.000 eV per atom
formation enthalpy at 0 K: 51.0 kJ/mol of atoms
calculated volume: 252.6 Å³/cell

Lattice parameters (Å, degrees): 6.3217 6.3217 6.3217 90.00 90.00 90.00
Positions (direct):
Ba 0.0000 0.0000 0.0000
Ca 0.0000 0.5000 0.5000
Ca 0.5000 0.0000 0.5000
Ca 0.5000 0.5000 0.0000
Y 0.5000 0.5000 0.5000


## La2Zr2Pd (PBE-GGA)

Data for an optimized crystal structure of La2Zr2Pd.

Properties
formation enthalpy at 0 K: -7.8 kJ/mol of atoms
calculated volume: 272.9 Å³/cell

Lattice parameters (Å, degrees): 7.1148 7.1148 5.3912 90.00 90.00 90.00
Positions (direct):
La 0.1669 0.3331 0.0000
La 0.3331 0.8331 0.0000
La 0.6669 0.1669 0.0000
La 0.8331 0.6669 0.0000
Zr 0.1492 0.6492 0.5000
Zr 0.3508 0.1492 0.5000
Zr 0.6492 0.8508 0.5000
Zr 0.8508 0.3508 0.5000
Pd 0.0000 0.0000 0.5000
Pd 0.5000 0.5000 0.5000


## NbAgPdAu (PBE-GGA)

Data for an optimized crystal structure of NbAgPdAu.

Properties
formation enthalpy at 0 K: -1.6 kJ/mol of atoms
calculated volume: 69.0 Å³/cell

Lattice parameters (Å, degrees): 4.6033 4.6033 4.6033 60.00 60.00 60.00
Positions (direct):
Nb 0.0000 0.0000 0.0000
Ag 0.5000 0.5000 0.5000
Pd 0.2500 0.2500 0.2500
Au 0.7500 0.7500 0.7500


## Ti5Ga2N (PBE-GGA)

Data for an optimized crystal structure of Ti5Ga2N.

Properties
formation energy without anion corrections: -0.230 eV/atom
calculated volume: 287.1 Å³/cell

Lattice parameters (Å, degrees): 7.3590 7.3590 10.3043 90.00 90.00 149.04
Positions (direct):
Ti 0.1079 0.8921 0.6121
Ti 0.1079 0.8921 0.8879
Ti 0.2730 0.7270 0.2500
Ti 0.2992 0.7008 0.5723
Ti 0.2992 0.7008 0.9277
Ti 0.7008 0.2992 0.0723
Ti 0.7008 0.2992 0.4277
Ti 0.7270 0.2730 0.7500
Ti 0.8921 0.1079 0.1121
Ti 0.8921 0.1079 0.3879
Ga 0.0772 0.9228 0.1358
Ga 0.0772 0.9228 0.3642
Ga 0.9228 0.0772 0.6358
Ga 0.9228 0.0772 0.8642
N 0.2152 0.7848 0.7500
N 0.7848 0.2152 0.2500